First-principles (PBE with a Hubbard U) data for a geometry-optimized SnMo3F structure, as listed in the Alexandria database.

a b c (Å): 5.517 5.517 5.517
angles (deg): 90.00 90.00 90.00
Fractional positions:
Sn 0.000 0.000 0.000
Mo 0.000 0.000 0.500
Mo 0.000 0.500 0.000
Mo 0.500 0.000 0.000
F 0.500 0.500 0.500

Values from the calculation:
* total energy: -20.63 eV/f.u.
* Fermi-level density of states: 1.6 states/eV/cell
* crystal system: cubic
* space group: No. 221